[1]
PBE TbZn9Pd2, relaxed; energy above the lowest structure with this stoichiometry = 75 meV/atom; V = 16.43 A^3/atom; theoretical density = 8.09 Mg/m³; formation energy from the elements = -26.8 kJ/mol of atoms
1.0
8.718 0.000 0.000
-4.359 7.550 0.000
0.000 0.000 2.995
Tb Zn Pd
1 9 2
Direct
0.000 0.000 0.000
0.000 0.500 0.000
0.183 0.367 0.500
0.183 0.817 0.500
0.367 0.183 0.500
0.500 0.000 0.000
0.500 0.500 0.000
0.633 0.817 0.500
0.817 0.183 0.500
0.817 0.633 0.500
0.333 0.667 0.000
0.667 0.333 0.000

***

[2]
PBE Tb3ZnPd12, relaxed; V = 16.98 A^3/atom; theoretical density = 11.12 Mg/m³; formation energy from the elements = -69.2 kJ/mol of atoms
1.0
4.105 0.000 0.000
0.000 4.105 0.000
0.000 0.000 16.124
Tb Zn Pd
3 1 12
Direct
0.000 0.000 0.000
0.000 0.000 0.259
0.000 0.000 0.741
0.000 0.000 0.500
0.000 0.500 0.129
0.000 0.500 0.387
0.000 0.500 0.613
0.000 0.500 0.871
0.500 0.000 0.129
0.500 0.000 0.387
0.500 0.000 0.613
0.500 0.000 0.871
0.500 0.500 0.000
0.500 0.500 0.257
0.500 0.500 0.500
0.500 0.500 0.743

***

[3]
PBE Tb3Zn2Pd2, relaxed; V = 22.25 A^3/atom; theoretical density = 8.75 Mg/m³; formation energy from the elements = -56.7 kJ/mol of atoms
1.0
1.950 -10.870 0.000
1.950 10.870 0.000
0.000 0.000 3.674
Tb Zn Pd
3 2 2
Direct
0.000 0.000 0.000
0.162 0.838 0.000
0.838 0.162 0.000
0.420 0.580 0.500
0.580 0.420 0.500
0.293 0.707 0.500
0.707 0.293 0.500

***

[4]
PBE Tb6ZnPd5, relaxed; V = 22.05 A^3/atom; theoretical density = 9.73 Mg/m³; formation energy from the elements = -75.0 kJ/mol of atoms
1.0
4.995 0.000 0.000
0.000 7.072 0.000
-2.479 0.000 7.490
Tb Zn Pd
6 1 5
Direct
0.000 0.246 0.000
0.000 0.754 0.000
0.332 0.249 0.664
0.332 0.751 0.664
0.668 0.249 0.336
0.668 0.751 0.336
0.500 0.500 0.000
0.160 0.500 0.321
0.168 0.000 0.338
0.500 0.000 0.000
0.832 0.000 0.662
0.840 0.500 0.679

***

[5]
PBE Tb4ZnPd2, relaxed; energy above the lowest structure with this stoichiometry = 0 meV/atom; V = 24.67 A^3/atom; theoretical density = 8.79 Mg/m³; formation energy from the elements = -50.3 kJ/mol of atoms
1.0
3.546 -4.954 0.000
3.546 4.954 0.000
0.000 0.000 4.915
Tb Zn Pd
4 1 2
Direct
0.000 0.500 0.500
0.242 0.242 0.000
0.500 0.000 0.500
0.758 0.758 0.000
0.500 0.500 0.500
0.260 0.740 0.000
0.740 0.260 0.000

***

[6]
PBE TbZn2Pd6, relaxed; V = 19.26 A^3/atom; theoretical density = 8.89 Mg/m³; formation energy from the elements = -28.0 kJ/mol of atoms
1.0
4.785 0.000 0.000
-2.393 4.144 0.000
0.000 0.000 8.742
Tb Zn Pd
1 2 6
Direct
0.000 0.000 0.000
0.333 0.667 0.500
0.667 0.333 0.500
0.000 0.341 0.739
0.000 0.659 0.261
0.341 0.000 0.739
0.341 0.341 0.261
0.659 0.000 0.261
0.659 0.659 0.739

***

[7]
PBE Tb3ZnPd2, relaxed; V = 22.23 A^3/atom; theoretical density = 9.40 Mg/m³; formation energy from the elements = -66.5 kJ/mol of atoms
1.0
5.011 0.000 0.000
-2.506 4.340 0.000
0.000 0.000 12.267
Tb Zn Pd
6 2 4
Direct
0.000 0.000 0.246
0.000 0.000 0.754
0.333 0.667 0.418
0.333 0.667 0.921
0.667 0.333 0.079
0.667 0.333 0.582
0.333 0.667 0.671
0.667 0.333 0.329
0.000 0.000 0.000
0.000 0.000 0.500
0.333 0.667 0.175
0.667 0.333 0.825

***

[8]
PBE Tb2ZnPd8, relaxed; V = 17.66 A^3/atom; theoretical density = 10.55 Mg/m³; formation energy from the elements = -57.5 kJ/mol of atoms
1.0
-2.294 3.025 6.998
2.294 -3.025 6.998
2.294 3.025 -6.998
Tb Zn Pd
2 1 8
Direct
0.191 0.191 0.000
0.809 0.809 0.000
0.500 0.500 0.000
0.101 0.367 0.735
0.247 0.000 0.247
0.325 0.825 0.500
0.368 0.633 0.735
0.632 0.367 0.265
0.675 0.175 0.500
0.753 0.000 0.753
0.899 0.633 0.265

***

[9]
PBE Tb3Zn2Pd, relaxed; energy above the lowest structure with this stoichiometry = 0 meV/atom; V = 22.55 A^3/atom; theoretical density = 8.76 Mg/m³; formation energy from the elements = -51.3 kJ/mol of atoms
1.0
3.587 0.000 0.000
0.000 3.587 0.000
0.000 0.000 10.517
Tb Zn Pd
3 2 1
Direct
0.000 0.000 0.000
0.000 0.000 0.338
0.000 0.000 0.662
0.500 0.500 0.165
0.500 0.500 0.835
0.500 0.500 0.500

***

[10]
PBE Tb3Zn2Pd7, relaxed; V = 18.94 A^3/atom; theoretical density = 9.88 Mg/m³; formation energy from the elements = -70.0 kJ/mol of atoms
1.0
2.099 -13.444 0.000
2.099 13.444 0.000
0.000 0.000 4.026
Tb Zn Pd
3 2 7
Direct
0.000 0.000 0.000
0.178 0.822 0.000
0.822 0.178 0.000
0.369 0.631 0.500
0.631 0.369 0.500
0.079 0.921 0.500
0.278 0.722 0.500
0.423 0.577 0.000
0.500 0.500 0.500
0.577 0.423 0.000
0.722 0.278 0.500
0.921 0.079 0.500

***

[11]
PBE Tb6Zn2Pd, relaxed; energy above the lowest structure with this stoichiometry = 163 meV/atom; V = 28.54 A^3/atom; theoretical density = 7.70 Mg/m³; formation energy from the elements = -13.1 kJ/mol of atoms
1.0
-2.487 3.494 7.389
2.487 -3.494 7.389
2.487 3.494 -7.389
Tb Zn Pd
6 2 1
Direct
0.086 0.337 0.749
0.247 0.000 0.247
0.412 0.663 0.749
0.588 0.337 0.251
0.753 0.000 0.753
0.914 0.663 0.251
0.333 0.833 0.500
0.667 0.167 0.500
0.000 0.500 0.500

***

[12]
PBE Tb2Zn12Pd5, relaxed; V = 16.55 A^3/atom; theoretical density = 8.63 Mg/m³; formation energy from the elements = -40.7 kJ/mol of atoms
1.0
4.559 2.632 4.369
-4.559 2.632 4.369
0.000 -5.264 4.369
Tb Zn Pd
2 12 5
Direct
0.174 0.174 0.174
0.826 0.826 0.826
0.150 0.150 0.655
0.150 0.655 0.150
0.208 0.500 0.792
0.208 0.792 0.500
0.345 0.850 0.850
0.500 0.208 0.792
0.500 0.792 0.208
0.655 0.150 0.150
0.792 0.208 0.500
0.792 0.500 0.208
0.850 0.345 0.850
0.850 0.850 0.345
0.000 0.500 0.500
0.396 0.396 0.396
0.500 0.000 0.500
0.500 0.500 0.000
0.604 0.604 0.604